First-principles (PBE) data for an optimized crystal structure of CrTePdN2, as listed in Alexandria via LeMat-Bulk.

Cell lengths 3.9893, 3.9893, 5.9714 Å; angles 90.00, 90.00, 90.00 degrees
Last column: nearest neighbours and their distance in Å.
Space group P4/mmm (No. 123)
One atom of each set of equivalent atoms:
Cr1 0.0000 0.0000 0.0000 x1  4 Te 2.82
Te1 0.5000 0.5000 0.0000 x1  4 Cr 2.82, 2 Pd 2.99
Pd1 0.5000 0.5000 0.5000 x1  4 N 1.99
N1 0.0000 0.5000 0.5000 x2  2 Pd 1.99

Output
The excess energy over the best structure of this formula in the dataset is 905 meV/atom. The total energy is -27.52 eV per cell. The value obtained for the density is 5.49 g cm⁻³. As for the total magnetic moment: 1.543 μB per atom. The calculation puts the density of states at the Fermi level at 2.91 states/eV/f.u. Its uncorrected formation energy is 7.1 eV/f.u.